# 1
{
  "formula": "Ac3Hf2N6",
  "functional": "PBE",
  "state": "optimized geometry",
  "spacegroup": "No. 139",
  "lattice_angstrom": [[-2.099, 2.099, 10.737], [2.099, -2.099, 10.737], [2.099, 2.099, -10.737]],
  "species": ["Ac", "Ac", "Ac", "Hf", "Hf", "N", "N", "N", "N", "N", "N"],
  "fractional_positions": [[0.000, 0.000, 0.000], [0.184, 0.184, 0.000], [0.816, 0.816, 0.000], [0.398, 0.398, 0.000], [0.602, 0.602, 0.000], [0.082, 0.582, 0.500], [0.302, 0.302, 0.000], [0.418, 0.918, 0.500], [0.582, 0.082, 0.500], [0.698, 0.698, 0.000], [0.918, 0.418, 0.500]]
}

# 2
{
  "formula": "AcHf4N6",
  "functional": "PBE",
  "state": "optimized geometry",
  "spacegroup": "No. 63",
  "lattice_angstrom": [[1.629, -5.369, 0.000], [1.629, 5.369, 0.000], [0.000, 0.000, 16.717]],
  "species": ["Ac", "Ac", "Hf", "Hf", "Hf", "Hf", "Hf", "Hf", "Hf", "Hf", "N", "N", "N", "N", "N", "N", "N", "N", "N", "N", "N", "N"],
  "fractional_positions": [[0.152, 0.848, 0.750], [0.848, 0.152, 0.250], [0.103, 0.897, 0.133], [0.103, 0.897, 0.367], [0.369, 0.631, 0.045], [0.369, 0.631, 0.455], [0.631, 0.369, 0.545], [0.631, 0.369, 0.955], [0.897, 0.103, 0.633], [0.897, 0.103, 0.867], [0.000, 0.000, 0.000], [0.000, 0.000, 0.500], [0.165, 0.835, 0.250], [0.270, 0.730, 0.581], [0.270, 0.730, 0.919], [0.469, 0.531, 0.151], [0.469, 0.531, 0.349], [0.531, 0.469, 0.651], [0.531, 0.469, 0.849], [0.730, 0.270, 0.081], [0.730, 0.270, 0.419], [0.835, 0.165, 0.750]]
}

# 3
{
  "formula": "AcHfN",
  "functional": "PBE",
  "state": "optimized geometry",
  "spacegroup": "No. 59",
  "lattice_angstrom": [[3.565, 0.000, 0.000], [0.000, 4.382, 0.000], [0.000, 0.000, 8.956]],
  "species": ["Ac", "Ac", "Hf", "Hf", "N", "N"],
  "fractional_positions": [[0.250, 0.250, 0.181], [0.750, 0.750, 0.819], [0.250, 0.250, 0.566], [0.750, 0.750, 0.434], [0.250, 0.750, 0.589], [0.750, 0.250, 0.411]]
}

# 4
{
  "formula": "AcHf2N3",
  "functional": "PBE",
  "state": "optimized geometry",
  "spacegroup": "No. 71",
  "lattice_angstrom": [[-1.765, 2.217, 5.723], [1.765, -2.217, 5.723], [1.765, 2.217, -5.723]],
  "species": ["Ac", "Hf", "Hf", "N", "N", "N"],
  "fractional_positions": [[0.000, 0.000, 0.000], [0.314, 0.314, 0.000], [0.686, 0.686, 0.000], [0.196, 0.696, 0.500], [0.500, 0.500, 0.000], [0.804, 0.304, 0.500]]
}

# 5
{
  "formula": "AcHf2NiN4",
  "functional": "PBE",
  "state": "optimized geometry",
  "spacegroup": "No. 63",
  "lattice_angstrom": [[1.655, -5.603, 0.000], [1.655, 5.603, 0.000], [0.000, 0.000, 11.227]],
  "species": ["Ac", "Ac", "Hf", "Hf", "Hf", "Hf", "Ni", "Ni", "N", "N", "N", "N", "N", "N", "N", "N"],
  "fractional_positions": [[0.104, 0.896, 0.750], [0.896, 0.104, 0.250], [0.366, 0.634, 0.555], [0.366, 0.634, 0.945], [0.634, 0.366, 0.055], [0.634, 0.366, 0.445], [0.162, 0.838, 0.250], [0.838, 0.162, 0.750], [0.000, 0.000, 0.000], [0.000, 0.000, 0.500], [0.263, 0.737, 0.106], [0.263, 0.737, 0.394], [0.431, 0.569, 0.750], [0.569, 0.431, 0.250], [0.737, 0.263, 0.606], [0.737, 0.263, 0.894]]
}

# 6
{
  "formula": "Ac2HfNpN6",
  "functional": "PBE",
  "state": "optimized geometry",
  "spacegroup": "No. 12",
  "lattice_angstrom": [[5.181, -2.968, 0.000], [5.181, 2.968, 0.000], [-3.507, 0.000, 4.906]],
  "species": ["Ac", "Ac", "Hf", "Np", "N", "N", "N", "N", "N", "N"],
  "fractional_positions": [[0.250, 0.250, 0.245], [0.750, 0.750, 0.755], [0.000, 0.000, 0.500], [0.500, 0.500, 0.000], [0.216, 0.707, 0.207], [0.254, 0.254, 0.683], [0.293, 0.784, 0.793], [0.707, 0.216, 0.207], [0.746, 0.746, 0.317], [0.784, 0.293, 0.793]]
}

# 7
{
  "formula": "AcHf4NpN8",
  "functional": "PBE",
  "state": "optimized geometry",
  "spacegroup": "No. 160",
  "lattice_angstrom": [[3.311, 1.912, 5.482], [-3.311, 1.912, 5.482], [0.000, -3.824, 5.482]],
  "species": ["Ac", "Hf", "Hf", "Hf", "Hf", "Np", "N", "N", "N", "N", "N", "N", "N", "N"],
  "fractional_positions": [[0.000, 0.000, 0.000], [0.118, 0.630, 0.630], [0.252, 0.252, 0.252], [0.630, 0.118, 0.630], [0.630, 0.630, 0.118], [0.627, 0.627, 0.627], [0.380, 0.380, 0.858], [0.380, 0.858, 0.380], [0.381, 0.381, 0.381], [0.442, 0.853, 0.853], [0.853, 0.442, 0.853], [0.853, 0.853, 0.442], [0.856, 0.856, 0.856], [0.858, 0.380, 0.380]]
}

# 8
{
  "formula": "AcHf3P4N12",
  "functional": "PBE",
  "state": "optimized geometry",
  "spacegroup": "No. 155",
  "lattice_angstrom": [[5.328, 3.076, 2.766], [-5.328, 3.076, 2.766], [0.000, -6.152, 2.766]],
  "species": ["Ac", "Hf", "Hf", "Hf", "P", "P", "P", "P", "N", "N", "N", "N", "N", "N", "N", "N", "N", "N", "N", "N"],
  "fractional_positions": [[0.000, 0.000, 0.000], [0.000, 0.555, 0.445], [0.445, 0.000, 0.555], [0.555, 0.445, 0.000], [0.057, 0.500, 0.943], [0.500, 0.500, 0.500], [0.500, 0.943, 0.057], [0.943, 0.057, 0.500], [0.031, 0.627, 0.777], [0.091, 0.909, 0.500], [0.223, 0.373, 0.969], [0.352, 0.648, 0.500], [0.373, 0.969, 0.223], [0.500, 0.091, 0.909], [0.500, 0.352, 0.648], [0.627, 0.777, 0.031], [0.648, 0.500, 0.352], [0.777, 0.031, 0.627], [0.909, 0.500, 0.091], [0.969, 0.223, 0.373]]
}

| no. | ΔE_f (raw) (meV/atom) | magnetic moment (μB/cell) |
| --- | --- | --- |
| 1 | -1348 | 0.00 |
| 2 | -1659 | 0.00 |
| 3 | -973 | 0.00 |
| 4 | -1547 | 0.00 |
| 5 | -1279 | 0.00 |
| 6 | -1207 | 0.00 |
| 7 | -1442 | 2.00 |
| 8 | -844 | 0.00 |